[1]
Material: Ta2TiCo6
Method: DFT, PBE
State: optimized geometry

It has space group P-3m1 (No. 164), with a = 5.0289 Å, b = 5.0289 Å, c = 5.2603 Å, α = 90.00°, β = 90.00° and γ = 120.00°. The inequivalent atoms are Ta at (0.3333, 0.6667, 0.3458), Ti at (0.0000, 0.0000, 0.5000) and Co at (0.1793, 0.3587, 0.8304).

The value obtained for the density of states at the Fermi level is 1.273 states/eV per atom. The calculation puts the volume at 115.2 Å³/f.u.

[2]
Material: Mg6InPb3
Method: DFT, PBE
State: optimized geometry

It has space group Fm-3m (No. 225), with a = 10.774 Å, b = 10.774 Å, c = 10.774 Å, α = 90.00°, β = 90.00° and γ = 90.00°. The inequivalent atoms are Mg at (0.000, 0.000, 0.247), In at (0.000, 0.000, 0.000), Pb at (0.000, 0.000, 0.500) and Pb at (0.250, 0.250, 0.250).

As for the polymorph energy (0 for the lowest one): 395 meV per atom. The value obtained for the density of states at the Fermi level is 1.000 states/eV per atom. The calculation puts the volume at 312.6 Å³/f.u.

[3]
Material: LuCu2Ir
Method: DFT, PBE
State: optimized geometry

It has space group Fm-3m (No. 225), with a = 6.286 Å, b = 6.286 Å, c = 6.286 Å, α = 90.00°, β = 90.00° and γ = 90.00°. The inequivalent atoms are Lu at (0.000, 0.000, 0.000), Cu at (0.250, 0.250, 0.250) and Ir at (0.000, 0.000, 0.500).

As for the polymorph energy (0 for the lowest one): 80 meV per atom. The value obtained for the density of states at the Fermi level is 0.595 states/eV per atom. The calculation puts the volume at 62.1 Å³/f.u.

DFT formation energy per entry: -123; 345; -297 meV/atom